# 1
First-principles (SCAN) data for a PBEsol-optimized structure of CaCo2Cl, as listed in Alexandria via LeMat-Bulk.

```
4
Lattice="-1.735 2.662 3.818 1.735 -2.662 3.818 1.735 2.662 -3.818" Properties=species:S:1:pos:R:3 pbc="T T T"
Ca 0.000 0.000 0.000
Co 1.735 0.000 2.486
Co 0.000 0.000 3.836
Cl 0.000 2.662 1.582
```

Energy relative to the elements, uncorrected: 1.7 kcal/mol of atoms
Volume: 70.54 Å³/cell
Offset from the most stable computed form: 117 meV/atom
Density: 4.55 Mg/m³
Total moment: 3.02 μB/f.u.
D(E_F): 0.337 states/eV per atom

=====

# 2
First-principles (SCAN) data for a PBEsol-optimized structure of MnCu2As, as listed in Alexandria via LeMat-Bulk.

```
4
Lattice="2.731 0.000 0.000 0.000 3.680 0.000 -1.337 0.000 5.123" Properties=species:S:1:pos:R:3 pbc="T T T"
Mn 0.000 0.000 0.000
Cu 0.022 1.840 3.646
Cu 1.382 0.000 2.599
As 1.365 1.840 1.011
```

Volume: 51.49 Å³/cell
Density: 8.29 Mg/m³
Total moment: 3.51 μB/f.u.
Calculated formation energy: -5.59 kJ per mole of atoms
D(E_F): 0.379 states/eV per atom

=====

# 3
First-principles (SCAN) data for a PBEsol-optimized structure of BaAl2Pt, as listed in Alexandria via LeMat-Bulk.

```
4
Lattice="2.149 1.241 6.062 -2.149 1.241 6.062 0.000 -2.481 6.062" Properties=species:S:1:pos:R:3 pbc="T T T"
Ba 0.000 0.000 0.000
Al 0.000 0.000 3.581
Al 0.000 0.000 14.605
Pt 0.000 0.000 9.093
```

Volume: 96.97 Å³/cell
Density: 6.62 Mg/m³
Total moment: 0.55 μB/f.u.
Calculated formation energy: -85.96 kJ per mole of atoms
D(E_F): 0.625 states/eV per atom

=====

total moment of number 2 (MnCu2As)?
3.51 μB/f.u.

=====

The lowest volume belongs to which entry?
MnCu2As